(1)
Compound: SrMoPt
Source: the Alexandria database
Functional: GGA-PBE
Structure: optimized geometry

Calculated values
As for the crystal system: monoclinic. The value obtained for the total DFT energy (no corrections) is -6.29 eV per atom. The value obtained for the formation energy is -0.11 eV/atom. The energy relative to the lowest polymorph listed for this composition comes out at 25 meV/atom.

Cell: 4.402 4.072 9.017 Å, 116.85 86.12 90.00°
Fractional coordinates of all 6 atoms:
Sr1 0.835 0.856 0.830
Sr2 0.306 0.656 0.131
Mo1 0.888 0.013 0.488
Mo2 0.253 0.499 0.473
Pt1 0.378 0.206 0.680
Pt2 0.763 0.306 0.281

***

(2)
Compound: SrPmPd
Source: the Alexandria database
Functional: GGA-PBE
Structure: optimized geometry

Calculated values
As for the crystal system: trigonal. The value obtained for the total DFT energy (no corrections) is -4.26 eV per atom. The value obtained for the formation energy is -0.38 eV/atom. The energy relative to the lowest polymorph listed for this composition comes out at 66 meV/atom.

Cell: 6.991 4.227 4.227 Å, 120.00 90.00 90.00°
Fractional coordinates of all 3 atoms:
Sr1 0.749 0.667 0.333
Pd1 0.021 0.000 0.000
Pm1 0.230 0.333 0.667

***

(3)
Compound: Ta2MnBe
Source: the Alexandria database
Functional: GGA-PBE
Structure: optimized geometry

Calculated values
As for the crystal system: orthorhombic. The value obtained for the total DFT energy (no corrections) is -9.20 eV per atom. The value obtained for the formation energy is -0.05 eV/atom.

Cell: 3.805 3.146 4.980 Å, 71.58 90.00 90.00°
Fractional coordinates of all 4 atoms:
Be1 0.000 0.701 0.472
Mn1 0.500 0.544 0.788
Ta1 0.000 0.984 0.906
Ta2 0.500 0.270 0.334

***

(4)
Compound: Cs2Tb2MnS6
Source: the Alexandria database
Functional: GGA-PBE
Structure: optimized geometry

Calculated values
The uncorrected formation energy is -15.6 eV per formula unit. As for the crystal system: monoclinic. The value obtained for the total DFT energy (no corrections) is -5.50 eV per atom.

Cell: 6.695 6.695 8.546 Å, 98.23 98.23 119.27°
Fractional coordinates of all 11 atoms:
Cs1 0.828 0.172 0.000
Cs2 0.172 0.828 0.000
Tb1 0.333 0.667 0.500
Tb2 0.667 0.333 0.500
Mn1 0.000 0.000 0.500
S1 0.766 0.766 0.669
S2 0.064 0.360 0.672
S3 0.234 0.234 0.331
S4 0.360 0.064 0.672
S5 0.936 0.640 0.328
S6 0.640 0.936 0.328